Tb2Tm2Sb5 | Alexandria | GGA-PBE | relaxed; total magnetization = 0.000 μB/atom; formation energy from raw total energies = -7.4 eV per formula unit
1.0
7.814 -3.980 0.000
7.814 3.980 0.000
0.000 0.000 8.203
Tb Tm Sb
4 4 10
direct
0.192 0.192 0.000 Tb
0.308 0.308 0.500 Tb
0.692 0.692 0.500 Tb
0.808 0.808 0.000 Tb
0.155 0.845 0.660 Tm
0.345 0.655 0.160 Tm
0.655 0.345 0.840 Tm
0.845 0.155 0.340 Tm
0.000 0.000 0.000 Sb
0.009 0.713 0.352 Sb
0.213 0.509 0.852 Sb
0.287 0.991 0.352 Sb
0.491 0.787 0.852 Sb
0.500 0.500 0.500 Sb
0.509 0.213 0.148 Sb
0.713 0.009 0.648 Sb
0.787 0.491 0.148 Sb
0.991 0.287 0.648 Sb